This record from Alexandria via LeMat-Bulk describes a PBEsol-optimized structure of Rb2WS4. The functional is meta-GGA SCAN.

Properties
- Formation energy without anion corrections: -8.06 eV/f.u.
- N(E_F): 0.00 states/eV/f.u.
- M_tot: 0.0 Bohr magnetons per cell
- Volume: 206.4 Å³/f.u.

a b c (Å): 9.673 6.929 12.321
angles (deg): 90.00 90.00 90.00
Positions (direct):
1 Rb 0.041 0.250 0.166
2 Rb 0.157 0.750 0.392
3 Rb 0.343 0.250 0.892
4 Rb 0.459 0.750 0.666
5 Rb 0.541 0.250 0.334
6 Rb 0.657 0.750 0.108
7 Rb 0.843 0.250 0.608
8 Rb 0.959 0.750 0.834
9 W 0.247 0.750 0.073
10 W 0.253 0.250 0.573
11 W 0.747 0.750 0.427
12 W 0.753 0.250 0.927
13 S 0.024 0.750 0.109
14 S 0.156 0.505 0.645
15 S 0.156 0.995 0.645
16 S 0.215 0.250 0.398
17 S 0.285 0.750 0.898
18 S 0.344 0.005 0.145
19 S 0.344 0.495 0.145
20 S 0.476 0.250 0.609
21 S 0.524 0.750 0.391
22 S 0.656 0.505 0.855
23 S 0.656 0.995 0.855
24 S 0.715 0.250 0.102
25 S 0.785 0.750 0.602
26 S 0.844 0.005 0.355
27 S 0.844 0.495 0.355
28 S 0.976 0.250 0.891

***

This record from Alexandria via LeMat-Bulk describes a PBEsol-optimized structure of RbZrS3. The functional is meta-GGA SCAN.

Properties
- Formation energy without anion corrections: -7.09 eV/f.u.
- N(E_F): 2.59 states/eV/f.u.
- M_tot: 0.0 Bohr magnetons per cell
- Volume: 125.6 Å³/f.u.
- E above lowest polymorph: 0.000 eV/f.u.

a b c (Å): 5.009 5.009 5.009
angles (deg): 90.00 90.00 90.00
Positions (direct):
1 Rb 0.000 0.000 0.000
2 Zr 0.500 0.500 0.500
3 S 0.000 0.500 0.500
4 S 0.500 0.000 0.500
5 S 0.500 0.500 0.000

***

This record from Alexandria via LeMat-Bulk describes a PBEsol-optimized structure of RbZrS3. The functional is meta-GGA SCAN.

Properties
- Formation energy without anion corrections: 5.48 eV/f.u.
- N(E_F): 4.66 states/eV/f.u.
- M_tot: 0.6 Bohr magnetons per cell
- Volume: 131.8 Å³/f.u.
- E above lowest polymorph: 12.571 eV/f.u.

a b c (Å): 5.089 5.089 5.089
angles (deg): 90.00 90.00 90.00
Positions (direct):
1 Rb 0.000 0.000 0.000
2 Zr 0.500 0.500 0.500
3 S 0.000 0.000 0.500
4 S 0.000 0.500 0.000
5 S 0.500 0.000 0.000

***

This record from Alexandria via LeMat-Bulk describes a PBEsol-optimized structure of RbSb2. The functional is meta-GGA SCAN.

Properties
- Formation energy without anion corrections: -1.05 eV/f.u.
- M_tot: 0.0 Bohr magnetons per cell
- Volume: 118.7 Å³/f.u.

a b c (Å): 7.244 7.244 8.491
angles (deg): 103.53 103.53 33.34
Positions (direct):
1 Rb 0.167 0.167 0.198
2 Rb 0.833 0.833 0.802
3 Sb 0.096 0.096 0.608
4 Sb 0.437 0.437 0.183
5 Sb 0.563 0.563 0.817
6 Sb 0.904 0.904 0.392

***

This record from Alexandria via LeMat-Bulk describes a PBEsol-optimized structure of RbSc3Sb. The functional is meta-GGA SCAN.

Properties
- Formation energy without anion corrections: 1.52 eV/f.u.
- N(E_F): 3.54 states/eV/f.u.
- M_tot: 4.7 Bohr magnetons per cell
- Volume: 171.2 Å³/f.u.

a b c (Å): 5.552 5.552 5.552
angles (deg): 90.00 90.00 90.00
Positions (direct):
1 Rb 0.000 0.000 0.000
2 Sc 0.000 0.500 0.500
3 Sc 0.500 0.000 0.500
4 Sc 0.500 0.500 0.000
5 Sb 0.500 0.500 0.500

***

This record from Alexandria via LeMat-Bulk describes a PBEsol-optimized structure of RbSc2Sb2. The functional is meta-GGA SCAN.

Properties
- Formation energy without anion corrections: -3.85 eV/f.u.
- N(E_F): 1.47 states/eV/f.u.
- M_tot: 1.0 Bohr magnetons per cell
- Volume: 165.4 Å³/f.u.

a b c (Å): 7.871 7.871 7.871
angles (deg): 144.27 144.27 51.43
Positions (direct):
1 Rb 0.000 0.000 0.000
2 Sc 0.250 0.750 0.500
3 Sc 0.750 0.250 0.500
4 Sb 0.359 0.359 0.000
5 Sb 0.641 0.641 0.000

***

Question: Which of these has the lowest volume?
Answer: RbSb2

***

What did the fifth record say?
This record from Alexandria via LeMat-Bulk describes a PBEsol-optimized structure of RbSc3Sb. The functional is meta-GGA SCAN.

Properties
- Formation energy without anion corrections: 1.52 eV/f.u.
- N(E_F): 3.54 states/eV/f.u.
- M_tot: 4.7 Bohr magnetons per cell
- Volume: 171.2 Å³/f.u.

a b c (Å): 5.552 5.552 5.552
angles (deg): 90.00 90.00 90.00
Positions (direct):
1 Rb 0.000 0.000 0.000
2 Sc 0.000 0.500 0.500
3 Sc 0.500 0.000 0.500
4 Sc 0.500 0.500 0.000
5 Sb 0.500 0.500 0.500

***

Copy entry 4 word for word.
This record from Alexandria via LeMat-Bulk describes a PBEsol-optimized structure of RbSb2. The functional is meta-GGA SCAN.

Properties
- Formation energy without anion corrections: -1.05 eV/f.u.
- M_tot: 0.0 Bohr magnetons per cell
- Volume: 118.7 Å³/f.u.

a b c (Å): 7.244 7.244 8.491
angles (deg): 103.53 103.53 33.34
Positions (direct):
1 Rb 0.167 0.167 0.198
2 Rb 0.833 0.833 0.802
3 Sb 0.096 0.096 0.608
4 Sb 0.437 0.437 0.183
5 Sb 0.563 0.563 0.817
6 Sb 0.904 0.904 0.392